The following is a DFT calculation (PBE-GGA) of NpNiHg after structural relaxation.

Lattice parameters (Å, degrees): 3.262 5.665 6.629 80.82 75.77 73.31
Positions (direct):
Np (0.143, 0.144, 0.070)
Np (0.857, 0.856, 0.930)
Ni (0.400, 0.518, 0.183)
Ni (0.600, 0.482, 0.817)
Hg (0.346, 0.249, 0.556)
Hg (0.654, 0.751, 0.444)

Symmetry: P-1, No. 2
E_tot, eV per cell: -37.540
Fermi-level density of states, states/eV per cell: 7.8
Formation energy, meV/atom: 85
Crystal system: triclinic